No. 1
A plane-wave DFT calculation with GGA-PBE was carried out for a relaxed structure of Mg2Ga2Sn.

Calculated values
* space group: P4/mbm
* calculated volume: 21.133 Å³/atom
* calculated density: 4.82 g cm⁻³

a b c (Å): 8.144 8.144 3.186
angles (deg): 90.00 90.00 90.00
Sites, in units of the cell vectors:
Ga 0.381 0.881 0.000
Ga 0.881 0.619 0.000
Ga 0.619 0.119 0.000
Ga 0.119 0.381 0.000
Mg 0.822 0.322 0.500
Mg 0.178 0.678 0.500
Mg 0.322 0.178 0.500
Mg 0.678 0.822 0.500
Sn 0.000 0.000 0.000
Sn 0.500 0.500 0.000

---

No. 2
A plane-wave DFT calculation with GGA-PBE was carried out for a relaxed structure of MgGaSn2.

Calculated values
* space group: P4/mmm
* calculated volume: 23.827 Å³/atom
* calculated density: 5.77 g cm⁻³

a b c (Å): 4.555 4.574 4.574
angles (deg): 90.00 90.00 90.00
Sites, in units of the cell vectors:
Sn 0.000 0.000 0.500
Sn 0.000 0.500 0.000
Ga 0.500 0.000 0.000
Mg 0.500 0.500 0.500

---

No. 3
A plane-wave DFT calculation with GGA-PBE was carried out for a relaxed structure of MgGaSn.

Calculated values
* space group: C2/m
* calculated volume: 23.096 Å³/atom
* calculated density: 5.10 g cm⁻³

a b c (Å): 4.577 4.577 6.778
angles (deg): 81.07 98.93 92.32
Sites, in units of the cell vectors:
Ga 0.740 0.740 0.000
Ga 0.260 0.260 0.000
Sn 0.692 0.308 0.696
Sn 0.308 0.692 0.304
Mg 0.177 0.823 0.703
Mg 0.823 0.177 0.297

---

No. 4
A plane-wave DFT calculation with GGA-PBE was carried out for a relaxed structure of Mg6Ga5Sn.

Calculated values
* space group: C2/m
* calculated volume: 20.040 Å³/atom
* calculated density: 4.23 g cm⁻³

a b c (Å): 9.191 4.465 6.942
angles (deg): 71.24 81.62 63.05
Sites, in units of the cell vectors:
Ga 0.000 0.674 0.652
Ga 0.000 0.326 0.348
Ga 0.500 0.836 0.328
Ga 0.500 0.164 0.672
Ga 0.500 0.500 0.000
Mg 0.261 0.566 0.338
Mg 0.260 0.240 0.000
Mg 0.740 0.760 0.000
Mg 0.261 0.905 0.662
Mg 0.739 0.434 0.662
Mg 0.739 0.095 0.338
Sn 0.000 0.000 0.000

---

No. 5
A plane-wave DFT calculation with GGA-PBE was carried out for a relaxed structure of Mg2Ga2Sn.

Calculated values
* space group: P4/mbm
* calculated volume: 21.734 Å³/atom
* calculated density: 4.69 g cm⁻³

a b c (Å): 8.382 8.382 3.094
angles (deg): 90.00 90.00 90.00
Sites, in units of the cell vectors:
Ga 0.828 0.328 0.500
Ga 0.172 0.672 0.500
Ga 0.672 0.828 0.500
Ga 0.328 0.172 0.500
Mg 0.628 0.128 0.000
Mg 0.372 0.872 0.000
Mg 0.872 0.628 0.000
Mg 0.128 0.372 0.000
Sn 0.500 0.500 0.000
Sn 0.000 0.000 0.000

---

No. 6
A plane-wave DFT calculation with GGA-PBE was carried out for a relaxed structure of MgGaSn.

Calculated values
* space group: I4mm
* calculated volume: 22.353 Å³/atom
* calculated density: 5.27 g cm⁻³

a b c (Å): 3.324 3.324 6.509
angles (deg): 104.79 104.79 90.00
Sites, in units of the cell vectors:
Mg 0.677 0.677 0.353
Sn 0.997 0.997 0.993
Ga 0.327 0.327 0.654

---

no.,total DFT energy (no corrections) (eV per atom),ΔE to the lowest computed polymorph (eV per atom)
1,-2.7440,0.0000
2,-3.1970,0.0000
3,-2.9060,0.0244
4,-2.5295,0.0000
5,-2.6884,0.0556
6,-2.9303,0.0000